1.
Computed, not measured: Tb2MoN4 after structural relaxation at the PBE level of DFT.

Computed properties:
distance to the lowest polymorph of the same formula: 0.0000 eV/atom

The structure in CIF format:
```
data_Tb2MoN4
_space_group_name_H-M_alt 'F d d d'
_space_group_IT_number 70
_cell_length_a 6.5640
_cell_length_b 10.4008
_cell_length_c 12.4795
_cell_angle_alpha 90.00
_cell_angle_beta 90.00
_cell_angle_gamma 90.00
loop_
_space_group_symop_operation_xyz
'x,y,z'
'-x,-y,-z'
'-x+1/4,-y+1/4,z'
'x+1/4,y+1/4,-z'
'x,-y+1/4,-z+1/4'
'-x,y+1/4,z+1/4'
'-x+1/4,y,-z+1/4'
'x+1/4,-y,z+1/4'
'x,y+1/2,z+1/2'
'-x,-y+1/2,-z+1/2'
'-x+1/4,-y+3/4,z+1/2'
'x+1/4,y+3/4,-z+1/2'
'x,-y+3/4,-z+3/4'
'-x,y+3/4,z+3/4'
'-x+1/4,y+1/2,-z+3/4'
'x+1/4,-y+1/2,z+3/4'
'x+1/2,y,z+1/2'
'-x+1/2,-y,-z+1/2'
'-x+3/4,-y+1/4,z+1/2'
'x+3/4,y+1/4,-z+1/2'
'x+1/2,-y+1/4,-z+3/4'
'-x+1/2,y+1/4,z+3/4'
'-x+3/4,y,-z+3/4'
'x+3/4,-y,z+3/4'
'x+1/2,y+1/2,z'
'-x+1/2,-y+1/2,-z'
'-x+3/4,-y+3/4,z'
'x+3/4,y+3/4,-z'
'x+1/2,-y+3/4,-z+1/4'
'-x+1/2,y+3/4,z+1/4'
'-x+3/4,y+1/2,-z+1/4'
'x+3/4,-y+1/2,z+1/4'
loop_
_atom_site_label
_atom_site_fract_x
_atom_site_fract_y
_atom_site_fract_z
Tb1 0.1250 0.3184 0.1250
Mo1 0.1250 0.1250 0.6250
N1 0.0367 0.2571 0.9503
```



2.
Computed, not measured: TbMo2N3 after structural relaxation at the PBE level of DFT.

The structure in CIF format:
```
data_TbMo2N3
_space_group_name_H-M_alt 'C m c m'
_space_group_IT_number 63
_space_group_name_Hall '-C 2c 2'
_cell_length_a 5.9825
_cell_length_b 11.3839
_cell_length_c 5.0199
_cell_angle_alpha 90.00
_cell_angle_beta 90.00
_cell_angle_gamma 90.00
loop_
_atom_site_label
_atom_site_fract_x
_atom_site_fract_y
_atom_site_fract_z
Tb1 0.0000 0.2344 0.2500
Mo1 0.2173 0.5000 0.0000
N1 0.0000 0.3912 0.7500
N2 0.2162 0.1360 0.7500
```



3.
Computed, not measured: Tb2MoWN6 after structural relaxation at the PBE level of DFT.

The structure in CIF format:
```
data_Tb2MoWN6
_space_group_name_H-M_alt 'P 4 m m'
_space_group_IT_number 99
_space_group_name_Hall 'P 4 -2'
_cell_length_a 5.3598
_cell_length_b 5.3598
_cell_length_c 4.7672
_cell_angle_alpha 90.00
_cell_angle_beta 90.00
_cell_angle_gamma 90.00
loop_
_atom_site_label
_atom_site_fract_x
_atom_site_fract_y
_atom_site_fract_z
Tb1 0.0000 0.5000 0.0000
Mo1 0.0000 0.0000 0.5765
W1 0.5000 0.5000 0.5795
N1 0.0000 0.0000 0.2020
N2 0.2502 0.2502 0.7092
N3 0.5000 0.5000 0.1993
```



4.
Computed, not measured: TcMoN after structural relaxation at the PBE level of DFT.

Computed properties:
distance to the lowest polymorph of the same formula: 0.6524 eV/atom

The structure in CIF format:
```
data_TcMoN
_space_group_name_H-M_alt 'P -6 m 2'
_space_group_IT_number 187
_space_group_name_Hall 'P -6 2'
_cell_length_a 3.8096
_cell_length_b 3.8096
_cell_length_c 2.8911
_cell_angle_alpha 90.00
_cell_angle_beta 90.00
_cell_angle_gamma 120.00
loop_
_atom_site_label
_atom_site_fract_x
_atom_site_fract_y
_atom_site_fract_z
Tc1 0.0000 0.0000 0.0000
Mo1 0.3333 0.6667 0.5000
N1 0.6667 0.3333 0.0000
```



Number 1: size of the total moment 0.00 μB per cell, ΔE_f (raw) -110.3 kJ per mole of atoms. Number 2: size of the total moment 0.00 μB per cell, ΔE_f (raw) -12.6 kJ per mole of atoms. Number 3: size of the total moment 0.00 μB per cell, ΔE_f (raw) -83.0 kJ per mole of atoms. Number 4: size of the total moment 0.00 μB per cell, ΔE_f (raw) 51.0 kJ per mole of atoms.